No. 1
A geometry-optimized HfBe3Tc structure. Source: Alexandria, functional PBE.

Cell lengths 4.342, 4.342, 4.342 Å; angles 90.00, 90.00, 90.00 degrees
Atoms (fractional coordinates):
Hf  0.000  0.000  0.000
Be  0.000  0.000  0.500
Be  0.000  0.500  0.000
Be  0.500  0.000  0.000
Tc  0.500  0.500  0.500

Properties
The calculation puts the calculated formation energy at 10.90 eV/f.u.

---

No. 2
A geometry-optimized Hf2Be3Tc structure. Source: Alexandria, functional PBE.

Cell lengths 4.865, 4.865, 4.937 Å; angles 119.57, 119.57, 59.87 degrees
Atoms (fractional coordinates):
Hf  0.124  0.124  0.372
Hf  0.876  0.876  0.628
Be  0.000  0.500  0.000
Be  0.500  0.000  0.000
Be  0.500  0.500  0.000
Tc  0.500  0.500  0.500

Properties
The calculation puts the calculated formation energy at -1.43 eV/f.u.

---

No. 3
A geometry-optimized HfBe17Tc structure. Source: Alexandria, functional PBE.

Cell lengths 5.555, 5.555, 5.555 Å; angles 83.08, 83.08, 83.08 degrees
Atoms (fractional coordinates):
Hf  0.000  0.000  0.000
Be  0.011  0.011  0.494
Be  0.011  0.494  0.011
Be  0.156  0.664  0.664
Be  0.315  0.315  0.811
Be  0.315  0.811  0.315
Be  0.366  0.654  0.960
Be  0.366  0.960  0.654
Be  0.494  0.011  0.011
Be  0.558  0.558  0.558
Be  0.654  0.366  0.960
Be  0.654  0.960  0.366
Be  0.664  0.156  0.664
Be  0.664  0.664  0.156
Be  0.755  0.755  0.755
Be  0.811  0.315  0.315
Be  0.960  0.366  0.654
Be  0.960  0.654  0.366
Tc  0.322  0.322  0.322

Properties
The calculation puts the calculated formation energy at -3.44 eV/f.u.

---

No. 4
A geometry-optimized HfBe2Tc structure. Source: Alexandria, functional PBE.

Cell lengths 4.190, 4.190, 4.190 Å; angles 60.00, 60.00, 60.00 degrees
Atoms (fractional coordinates):
Hf  0.000  0.000  0.000
Be  0.250  0.250  0.250
Be  0.750  0.750  0.750
Tc  0.500  0.500  0.500

Properties
The calculation puts the calculated formation energy at -0.45 eV/f.u.

---

No. 5
A geometry-optimized HfBe2Tc structure. Source: Alexandria, functional PBE.

Cell lengths 8.693, 8.693, 8.693 Å; angles 154.22, 154.22, 36.78 degrees
Atoms (fractional coordinates):
Hf  0.000  0.000  0.000
Hf  0.750  0.250  0.500
Be  0.302  0.625  0.177
Be  0.375  0.552  0.677
Be  0.448  0.125  0.823
Be  0.875  0.698  0.323
Tc  0.250  0.750  0.500
Tc  0.500  0.500  0.000

Properties
The calculation puts the calculated formation energy at 1.50 eV/f.u.

---

No. 6
A geometry-optimized HfBeTc3 structure. Source: Alexandria, functional PBE.

Cell lengths 4.224, 4.224, 4.224 Å; angles 90.00, 90.00, 90.00 degrees
Atoms (fractional coordinates):
Hf  0.000  0.000  0.000
Be  0.500  0.500  0.500
Tc  0.000  0.500  0.500
Tc  0.500  0.000  0.500
Tc  0.500  0.500  0.000

Properties
The calculation puts the calculated formation energy at 1.26 eV/f.u.

---

No. 7
A geometry-optimized HfBeTc2W structure. Source: Alexandria, functional PBE.

Cell lengths 4.653, 4.653, 4.266 Å; angles 90.00, 90.00, 90.00 degrees
Atoms (fractional coordinates):
Hf  0.000  0.000  0.000
Be  0.000  0.000  0.500
Tc  0.000  0.500  0.000
Tc  0.500  0.000  0.000
W  0.500  0.500  0.500

Properties
The calculation puts the calculated formation energy at 10.66 eV/f.u.

---

No. 8
A geometry-optimized YHfBe2Tc structure. Source: Alexandria, functional PBE.

Cell lengths 4.490, 4.490, 5.253 Å; angles 90.00, 90.00, 90.00 degrees
Atoms (fractional coordinates):
Y  0.000  0.000  0.000
Hf  0.000  0.000  0.500
Be  0.000  0.500  0.500
Be  0.500  0.000  0.500
Tc  0.500  0.500  0.000

Properties
The calculation puts the calculated formation energy at 9.69 eV/f.u.

---

No. 9
A geometry-optimized Hf3BeTe3 structure. Source: Alexandria, functional PBE.

Cell lengths 9.563, 9.563, 9.563 Å; angles 109.47, 109.47, 109.47 degrees
Atoms (fractional coordinates):
Hf  0.017  0.034  0.267
Hf  0.017  0.483  0.750
Hf  0.034  0.267  0.017
Hf  0.233  0.267  0.750
Hf  0.233  0.466  0.483
Hf  0.267  0.017  0.034
Hf  0.267  0.750  0.233
Hf  0.466  0.483  0.233
Hf  0.483  0.233  0.466
Hf  0.483  0.750  0.017
Hf  0.750  0.017  0.483
Hf  0.750  0.233  0.267
Be  0.000  0.250  0.500
Be  0.250  0.250  0.250
Be  0.250  0.500  0.000
Be  0.500  0.000  0.250
Te  0.250  0.759  0.741
Te  0.250  0.991  0.509
Te  0.509  0.250  0.991
Te  0.509  0.759  0.518
Te  0.518  0.509  0.759
Te  0.741  0.250  0.759
Te  0.741  0.991  0.982
Te  0.759  0.518  0.509
Te  0.759  0.741  0.250
Te  0.982  0.741  0.991
Te  0.991  0.509  0.250
Te  0.991  0.982  0.741

Properties
The value obtained for the energy relative to the elements, uncorrected is -0.4979 eV/atom.

---

No. 10
A geometry-optimized Hf2BeTe structure. Source: Alexandria, functional PBE.

Cell lengths 7.395, 7.395, 7.395 Å; angles 132.96, 132.96, 68.72 degrees
Atoms (fractional coordinates):
Hf  0.048  0.625  0.923
Hf  0.375  0.298  0.423
Hf  0.702  0.125  0.077
Hf  0.875  0.952  0.577
Be  0.000  0.000  0.000
Be  0.750  0.250  0.500
Te  0.250  0.750  0.500
Te  0.500  0.500  0.000

Properties
The value obtained for the energy relative to the elements, uncorrected is 0.5764 eV/atom.

---

No. 11
A geometry-optimized HfBeTe3 structure. Source: Alexandria, functional PBE.

Cell lengths 4.941, 4.941, 4.941 Å; angles 90.00, 90.00, 90.00 degrees
Atoms (fractional coordinates):
Hf  0.000  0.000  0.000
Be  0.500  0.500  0.500
Te  0.000  0.500  0.500
Te  0.500  0.000  0.500
Te  0.500  0.500  0.000

Properties
The value obtained for the energy relative to the elements, uncorrected is 0.3833 eV/atom.

---

No. 12
A geometry-optimized Hf5Be2Te2 structure. Source: Alexandria, functional PBE.

Cell lengths 7.885, 7.885, 7.116 Å; angles 90.00, 90.00, 53.84 degrees
Atoms (fractional coordinates):
Hf  0.000  0.000  0.000
Hf  0.051  0.718  0.669
Hf  0.218  0.551  0.169
Hf  0.282  0.949  0.669
Hf  0.449  0.782  0.169
Hf  0.500  0.500  0.500
Hf  0.551  0.218  0.831
Hf  0.718  0.051  0.331
Hf  0.782  0.449  0.831
Hf  0.949  0.282  0.331
Be  0.125  0.875  0.377
Be  0.375  0.625  0.877
Be  0.625  0.375  0.123
Be  0.875  0.125  0.623
Te  0.210  0.210  0.000
Te  0.290  0.290  0.500
Te  0.710  0.710  0.500
Te  0.790  0.790  0.000

Properties
The value obtained for the energy relative to the elements, uncorrected is -0.3654 eV/atom.

---

Mass density
In order: 6.16 9.64 4.25 9.40 7.88 10.61 10.20 6.01 9.15 7.71 7.85 10.84
Unit: g cm⁻³
DFT total energy
In order: -20.597 -42.884 -87.100 -28.218 -52.543 -43.515 -36.710 -24.543 -185.988 -48.938 -21.188 -133.582
Unit: eV per cell